Material: LiHgO4
Method: DFT, GGA-PBE
State: optimized geometry

Cell lengths 5.7006, 10.4976, 11.6763 Å; angles 113.85, 103.82, 94.95 degrees
With the nearest neighbours (Å) after each atom.
Atoms (fractional coordinates):
Li 0.0000 0.0000 0.0000  4 O 1.90-2.04
Li 0.0214 0.3624 0.7693  4 O 1.91-2.02
Li 0.1132 0.4155 0.1049  4 O 1.94-2.16
Li 0.5181 0.9143 0.0890  4 O 1.90-2.05
Li 0.5395 0.4374 0.7067  4 O 1.90-2.08
Li 0.6640 0.5250 0.0791  4 O 1.93-2.14
Li 0.8075 0.7059 0.5871  3 O 1.97-2.15
Li 0.9242 0.0160 0.7013  2 O 1.83-1.97
Hg 0.0621 0.6892 0.8892  2 O 2.05
Hg 0.1015 0.8730 0.2224  2 O 2.05-2.07
Hg 0.1403 0.1265 0.5135  2 O 2.03-2.05
Hg 0.4309 0.9364 0.6172  2 O 2.03-2.06
Hg 0.5165 0.1934 0.9156  2 O 2.04-2.06
Hg 0.5609 0.7130 0.3474  2 O 2.03-2.04
Hg 0.6800 0.3982 0.2639  4 O 2.10-2.22
Hg 0.9411 0.4210 0.5458  4 O 2.01-2.06
O 0.0100 0.2009 0.9088  2 O 1.38-1.39
O 0.0330 0.6174 0.2210  1 O 1.31
O 0.0766 0.9120 0.4053  2 Hg 2.03-2.05
O 0.1354 0.1799 0.0154  1 O 1.39
O 0.1426 0.3219 0.9154  1 O 1.38
O 0.1698 0.8769 0.0570  2 Li 1.90-1.91, 2 Hg 2.05-2.07
O 0.1812 0.6844 0.5658  1 O 1.30
O 0.2034 0.3394 0.6353  2 Li 1.90-2.02, 2 Hg 2.05-2.06
O 0.2268 0.6110 0.4568  1 O 1.30
O 0.2581 0.0665 0.7362  1 Li 1.83, 1 Hg 2.03
O 0.3198 0.1540 0.3031  1 O 1.26
O 0.4101 0.1603 0.2164  1 O 1.26
O 0.4521 0.5224 0.1850  2 Li 1.93-1.94, 1 Hg 2.03
O 0.4527 0.5796 0.8683  1 O 1.33
O 0.4771 0.8615 0.8578  1 O 1.32
O 0.5842 0.0516 0.3559  1 O 1.27
O 0.6128 0.7341 0.0873  1 O 1.43
O 0.6260 0.9744 0.9598  1 O 1.32
O 0.6348 0.2084 0.5706  1 O 1.33
O 0.6391 0.6846 0.9585  2 O 1.33-1.43
O 0.6416 0.4156 0.8766  1 O 1.33
O 0.6695 0.7884 0.7535  1 O 1.34
O 0.6724 0.5035 0.4665  1 Li 1.97, 2 Hg 2.04-2.18
O 0.6884 0.0620 0.2746  1 O 1.27
O 0.7056 0.8571 0.5395  2 Li 1.97, 2 Hg 2.04-2.06
O 0.7653 0.1805 0.6657  1 O 1.33
O 0.7674 0.3374 0.0870  2 Li 2.00-2.13, 2 Hg 2.04-2.10
O 0.8606 0.5001 0.9512  1 O 1.33
O 0.8736 0.5083 0.7232  2 Li 1.92-2.00, 2 Hg 2.05
O 0.8747 0.8895 0.8031  1 O 1.34
O 0.9701 0.3217 0.3634  2 Hg 2.01-2.19
O 0.9992 0.6401 0.3338  1 O 1.31

Calculated values
Calculated density: 5.9 g cm⁻³
Total energy: -4.06 eV/atom
SG: No. 1
Crystal system: triclinic
Energy above the most stable polymorph in this dataset: 0.000 eV/atom